Record 1
Compound: Rb8Na2Ag
Source: the Alexandria database
Functional: PBE
Structure: optimized geometry

Cell lengths 7.0296, 9.2793, 13.1444 Å; angles 113.52, 105.51, 90.00 degrees
Sites, in units of the cell vectors:
Rb  0.5913  0.7664  0.1826
Rb  0.3548  0.6661  0.7095
Rb  0.2089  0.1277  0.4178
Rb  0.0163  0.2436  0.0326
Rb  0.7911  0.8723  0.5822
Rb  0.6452  0.3339  0.2905
Rb  0.4087  0.2336  0.8174
Rb  0.9837  0.7564  0.9674
Na  0.1785  0.6424  0.3571
Na  0.8215  0.3576  0.6429
Ag  0.5000  0.0000  0.0000

Properties
final energy: -0.08548 Ry per atom
space-group type: C2/m
Fermi-level density of states: 6.46 states/eV/f.u.

=====

Record 2
Compound: RbNaAg2
Source: the Alexandria database
Functional: PBE
Structure: optimized geometry

Cell lengths 5.0988, 5.0988, 6.9038 Å; angles 68.33, 68.33, 60.00 degrees
Sites, in units of the cell vectors:
Na  0.0000  0.0000  0.0000
Rb  0.5000  0.5000  0.5000
Ag  0.3154  0.3154  0.0537
Ag  0.6846  0.6846  0.9463

Properties
final energy: -0.14377 Ry per atom
space-group type: R-3m
Fermi-level density of states: 1.54 states/eV/f.u.

=====

Record 3
Compound: Rb2NaAg2
Source: the Alexandria database
Functional: PBE
Structure: optimized geometry

Cell lengths 5.5308, 5.5308, 8.3388 Å; angles 70.63, 70.63, 90.00 degrees
Sites, in units of the cell vectors:
Na  0.0000  0.0000  0.0000
Rb  0.7500  0.2500  0.5000
Rb  0.2500  0.7500  0.5000
Ag  0.4062  0.4062  0.1876
Ag  0.5938  0.5938  0.8124

Properties
final energy: -0.11413 Ry per atom
space-group type: I4/mmm
Fermi-level density of states: 2.78 states/eV/f.u.

=====

Record 4
Compound: Rb12Na5Ag3
Source: the Alexandria database
Functional: PBE
Structure: optimized geometry

Cell lengths 19.4830, 19.4830, 19.4830 Å; angles 109.47, 109.47, 109.47 degrees
Sites, in units of the cell vectors:
Ag  0.7500  0.3750  0.1250
Ag  0.8750  0.7500  0.1250
Ag  0.3750  0.7500  0.6250
Ag  0.2500  0.1250  0.3750
Ag  0.8750  0.1250  0.2500
Ag  0.3750  0.6250  0.2500
Ag  0.6250  0.3750  0.7500
Ag  0.1250  0.8750  0.7500
Ag  0.7500  0.8750  0.6250
Ag  0.6250  0.2500  0.3750
Ag  0.1250  0.2500  0.8750
Ag  0.2500  0.6250  0.8750
Na  0.1250  0.3750  0.2500
Na  0.0000  0.5000  0.0000
Na  0.0000  0.0000  0.0000
Na  0.3750  0.2500  0.1250
Na  0.5000  0.0000  0.5000
Na  0.5000  0.5000  0.0000
Na  0.1250  0.7500  0.3750
Na  0.7500  0.1250  0.8750
Na  0.7500  0.6250  0.3750
Na  0.3750  0.1250  0.7500
Na  0.6250  0.8750  0.2500
Na  0.5000  0.5000  0.5000
Na  0.5000  0.0000  0.0000
Na  0.0000  0.0000  0.5000
Na  0.2500  0.3750  0.6250
Na  0.2500  0.8750  0.1250
Na  0.0000  0.5000  0.5000
Na  0.8750  0.2500  0.6250
Na  0.6250  0.7500  0.8750
Na  0.8750  0.6250  0.7500
Rb  0.7386  0.1305  0.0673
Rb  0.3287  0.5673  0.4368
Rb  0.9327  0.3695  0.2614
Rb  0.5673  0.2386  0.1305
Rb  0.6081  0.7386  0.6713
Rb  0.9327  0.5632  0.1713
Rb  0.3287  0.7614  0.3919
Rb  0.0632  0.8919  0.1305
Rb  0.5632  0.9327  0.6713
Rb  0.7386  0.6081  0.1713
Rb  0.7614  0.4327  0.3695
Rb  0.8287  0.9368  0.0673
Rb  0.1305  0.7386  0.5673
Rb  0.3695  0.4368  0.1081
Rb  0.1081  0.9368  0.3695
Rb  0.3919  0.1305  0.5632
Rb  0.1081  0.1713  0.2386
Rb  0.4327  0.6713  0.0632
Rb  0.8287  0.8919  0.2614
Rb  0.1305  0.3919  0.0632
Rb  0.3695  0.9327  0.7614
Rb  0.5632  0.6305  0.3919
Rb  0.9368  0.8287  0.5673
Rb  0.7614  0.3287  0.8919
Rb  0.4368  0.3695  0.6081
Rb  0.0632  0.1713  0.4327
Rb  0.2386  0.6713  0.1081
Rb  0.1713  0.1081  0.7386
Rb  0.6305  0.0673  0.2386
Rb  0.8695  0.6081  0.9368
Rb  0.5673  0.3287  0.9368
Rb  0.6081  0.8695  0.4368
Rb  0.8919  0.8287  0.7614
Rb  0.8919  0.0632  0.6305
Rb  0.8695  0.2614  0.4327
Rb  0.1713  0.0632  0.9327
Rb  0.6305  0.5632  0.8919
Rb  0.4368  0.0673  0.3287
Rb  0.2614  0.3919  0.8287
Rb  0.2386  0.5673  0.6305
Rb  0.9368  0.1081  0.8695
Rb  0.6713  0.2386  0.6081
Rb  0.4327  0.7614  0.8695
Rb  0.0673  0.4368  0.8287
Rb  0.3919  0.2614  0.3287
Rb  0.0673  0.6305  0.7386
Rb  0.6713  0.4327  0.5632
Rb  0.2614  0.8695  0.9327

Properties
final energy: -0.08430 Ry per atom
space-group type: Ia-3d
Fermi-level density of states: 15.58 states/eV/f.u.

=====

Record 5
Compound: Rb2NaAg
Source: the Alexandria database
Functional: PBE
Structure: optimized geometry

Cell lengths 12.9191, 12.9191, 9.6016 Å; angles 47.72, 47.72, 90.00 degrees
Sites, in units of the cell vectors:
Na  0.5000  0.5000  0.0000
Na  0.2500  0.7500  0.5000
Rb  0.7751  0.1250  0.2500
Rb  0.9749  0.6250  0.2500
Rb  0.3750  0.2249  0.7500
Rb  0.8750  0.0251  0.7500
Ag  0.0000  0.0000  0.0000
Ag  0.7500  0.2500  0.5000

Properties
final energy: -0.10405 Ry per atom
space-group type: I-42d
Fermi-level density of states: 0.79 states/eV/f.u.

=====

Record 6
Compound: Rb3NaAg
Source: the Alexandria database
Functional: PBE
Structure: optimized geometry

Cell lengths 6.9636, 6.9636, 6.9636 Å; angles 90.00, 90.00, 90.00 degrees
Sites, in units of the cell vectors:
Na  0.5000  0.5000  0.5000
Rb  0.0000  0.5000  0.0000
Rb  0.0000  0.0000  0.5000
Rb  0.5000  0.0000  0.0000
Ag  0.0000  0.0000  0.0000

Properties
final energy: -0.09719 Ry per atom
space-group type: Pm-3m
Fermi-level density of states: 5.97 states/eV/f.u.

=====

Number 1: formation enthalpy at 0 K 40 meV/atom. Number 2: formation enthalpy at 0 K 41 meV/atom. Number 3: formation enthalpy at 0 K 239 meV/atom. Number 4: formation enthalpy at 0 K 191 meV/atom. Number 5: formation enthalpy at 0 K 111 meV/atom. Number 6: formation enthalpy at 0 K 92 meV/atom.